Entry 1
First-principles (PBE-GGA) data for an optimized crystal structure of YSc2Ir2, as listed in the Alexandria database.

a = 7.9511 Å, b = 7.9511 Å, c = 3.0539 Å
α = 90.00°, β = 90.00°, γ = 90.00°
Positions (direct):
Ir 0.3352 0.1648 0.5000
Ir 0.8352 0.3352 0.5000
Ir 0.6648 0.8352 0.5000
Ir 0.1648 0.6648 0.5000
Sc 0.3684 0.8684 0.0000
Sc 0.1316 0.3684 0.0000
Sc 0.6316 0.1316 0.0000
Sc 0.8684 0.6316 0.0000
Y 0.0000 0.0000 0.0000
Y 0.5000 0.5000 0.0000

Computed properties:
D(E_F), states/eV/atom: 0.70



Entry 2
First-principles (PBE-GGA) data for an optimized crystal structure of YSc2Ir2, as listed in the Alexandria database.

a = 4.6674 Å, b = 4.6674 Å, c = 5.6239 Å
α = 89.99°, β = 89.99°, γ = 59.99°
Positions (direct):
Ir 0.8332 0.3332 0.1773
Ir 0.1668 0.6668 0.8227
Sc 0.1667 0.6667 0.3443
Sc 0.8333 0.3333 0.6557
Y 0.5000 0.0000 0.0000

Computed properties:
D(E_F), states/eV/atom: 0.76



Entry 3
First-principles (PBE-GGA) data for an optimized crystal structure of YSc2Ir2, as listed in the Alexandria database.

a = 7.8769 Å, b = 7.8769 Å, c = 3.2063 Å
α = 90.00°, β = 90.00°, γ = 90.00°
Positions (direct):
Sc 0.3587 0.1413 0.5000
Sc 0.1413 0.6413 0.5000
Sc 0.6413 0.8587 0.5000
Sc 0.8587 0.3587 0.5000
Ir 0.8467 0.6533 0.0000
Ir 0.3467 0.8467 0.0000
Ir 0.6533 0.1533 0.0000
Ir 0.1533 0.3467 0.0000
Y 0.0000 0.0000 0.0000
Y 0.5000 0.5000 0.0000

Computed properties:
D(E_F), states/eV/atom: 0.58



Pick entry 2: it beats the second-best structure by 4.7 kJ/mol of atoms.



Entry 1
First-principles (PBE-GGA) data for an optimized crystal structure of Y2ScIr2, as listed in the Alexandria database.

a = 4.2138 Å, b = 6.1172 Å, c = 9.4086 Å
α = 81.26°, β = 77.06°, γ = 69.85°
Positions (direct):
Ir 0.9707 0.1678 0.8909
Ir 0.1360 0.3099 0.4180
Ir 0.0293 0.8322 0.1091
Ir 0.8640 0.6901 0.5820
Sc 0.2096 0.9522 0.6286
Sc 0.7904 0.0478 0.3714
Y 0.5242 0.6432 0.3084
Y 0.3184 0.2667 0.0964
Y 0.4758 0.3568 0.6916
Y 0.6816 0.7333 0.9036

Computed properties:
D(E_F), states/eV/atom: 0.57



Entry 2
First-principles (PBE-GGA) data for an optimized crystal structure of Y2ScIr2, as listed in the Alexandria database.

a = 8.1960 Å, b = 8.1960 Å, c = 3.1805 Å
α = 90.00°, β = 90.00°, γ = 90.00°
Positions (direct):
Ir 0.1649 0.6649 0.5000
Ir 0.8351 0.3351 0.5000
Ir 0.6649 0.8351 0.5000
Ir 0.3351 0.1649 0.5000
Sc 0.5000 0.5000 0.0000
Sc 0.0000 0.0000 0.0000
Y 0.8628 0.6372 0.0000
Y 0.6372 0.1372 0.0000
Y 0.3628 0.8628 0.0000
Y 0.1372 0.3628 0.0000

Computed properties:
D(E_F), states/eV/atom: 0.86



Pick entry 1: it beats the second-best structure by 36.5 kJ/mol of atoms.



Entry 1
First-principles (PBE-GGA) data for an optimized crystal structure of ScZnIr3, as listed in the Alexandria database.

a = 4.6819 Å, b = 4.6819 Å, c = 4.6819 Å
α = 90.00°, β = 90.00°, γ = 90.00°
Positions (direct):
Sc 0.0000 0.0000 0.0000
Ir 0.0000 0.0000 0.5000
Ir 0.5000 0.0000 0.0000
Ir 0.0000 0.5000 0.0000
Zn 0.5000 0.5000 0.5000

Computed properties:
D(E_F), states/eV/atom: 2.11



Entry 2
First-principles (PBE-GGA) data for an optimized crystal structure of ScZnIr3, as listed in the Alexandria database.

a = 4.5188 Å, b = 4.5188 Å, c = 4.5188 Å
α = 90.00°, β = 90.00°, γ = 90.00°
Positions (direct):
Ir 0.0000 0.0000 0.5000
Ir 0.5000 0.0000 0.0000
Ir 0.0000 0.5000 0.0000
Zn 0.0000 0.0000 0.0000
Sc 0.5000 0.5000 0.5000

Computed properties:
D(E_F), states/eV/atom: 1.03



Pick entry 2: it beats the second-best structure by 73.0 kJ/mol of atoms.



Entry 1
First-principles (PBE-GGA) data for an optimized crystal structure of ScZn2Ir2, as listed in the Alexandria database.

a = 7.1739 Å, b = 7.1739 Å, c = 3.0030 Å
α = 90.00°, β = 90.00°, γ = 90.00°
Positions (direct):
Ir 0.3222 0.1778 0.5000
Ir 0.8222 0.3222 0.5000
Ir 0.1778 0.6778 0.5000
Ir 0.6778 0.8222 0.5000
Zn 0.6210 0.1210 0.0000
Zn 0.3790 0.8790 0.0000
Zn 0.1210 0.3790 0.0000
Zn 0.8790 0.6210 0.0000
Sc 0.0000 0.0000 0.0000
Sc 0.5000 0.5000 0.0000

Computed properties:
D(E_F), states/eV/atom: 0.35



Entry 2
First-principles (PBE-GGA) data for an optimized crystal structure of ScZn2Ir2, as listed in the Alexandria database.

a = 3.7208 Å, b = 3.7208 Å, c = 6.6550 Å
α = 73.77°, β = 73.77°, γ = 90.00°
Positions (direct):
Zn 0.7500 0.2500 0.5000
Zn 0.2500 0.7500 0.5000
Ir 0.3957 0.3957 0.2086
Ir 0.6043 0.6043 0.7914
Sc 0.0000 0.0000 0.0000

Computed properties:
D(E_F), states/eV/atom: 0.51



Entry 3
First-principles (PBE-GGA) data for an optimized crystal structure of ScZn2Ir2, as listed in the Alexandria database.

a = 7.1728 Å, b = 7.1728 Å, c = 3.0837 Å
α = 90.00°, β = 90.00°, γ = 90.00°
Positions (direct):
Zn 0.1532 0.6532 0.5000
Zn 0.6532 0.8468 0.5000
Zn 0.8468 0.3468 0.5000
Zn 0.3468 0.1532 0.5000
Ir 0.6446 0.1446 0.0000
Ir 0.8554 0.6446 0.0000
Ir 0.1446 0.3554 0.0000
Ir 0.3554 0.8554 0.0000
Sc 0.5000 0.5000 0.0000
Sc 0.0000 0.0000 0.0000

Computed properties:
D(E_F), states/eV/atom: 0.33



Pick entry 1: it beats the second-best structure by 7.0 kJ/mol of atoms.



Entry 1
First-principles (PBE-GGA) data for an optimized crystal structure of Sc8Zn2Ir, as listed in the Alexandria database.

a = 5.0636 Å, b = 7.6021 Å, c = 7.6021 Å
α = 117.56°, β = 102.18°, γ = 102.18°
Positions (direct):
Zn 0.4999 0.3047 0.7015
Zn 0.4999 0.7015 0.3047
Ir 0.0015 0.0029 0.0029
Sc 0.6230 0.3296 0.0981
Sc 0.9999 0.2043 0.8020
Sc 0.7961 0.6345 0.6345
Sc 0.9999 0.8020 0.2043
Sc 0.6230 0.0981 0.3296
Sc 0.3766 0.9082 0.6768
Sc 0.2033 0.3714 0.3714
Sc 0.3766 0.6768 0.9082

Computed properties:
D(E_F), states/eV/atom: 1.08



Entry 2
First-principles (PBE-GGA) data for an optimized crystal structure of Sc8Zn2Ir, as listed in the Alexandria database.

a = 4.7875 Å, b = 6.3952 Å, c = 8.4075 Å
α = 109.19°, β = 106.54°, γ = 90.00°
Positions (direct):
Sc 0.8038 0.7010 0.6077
Sc 0.9771 0.2150 0.9541
Sc 0.1962 0.2990 0.3923
Sc 0.0229 0.7850 0.0459
Sc 0.6620 0.9649 0.3240
Sc 0.4075 0.5588 0.8149
Sc 0.3380 0.0351 0.6760
Sc 0.5925 0.4412 0.1851
Zn 0.1796 0.7026 0.3592
Zn 0.8204 0.2974 0.6408
Ir 0.5000 0.0000 0.0000

Computed properties:
D(E_F), states/eV/atom: 0.93



Pick entry 2: it beats the second-best structure by 11.3 kJ/mol of atoms.



Entry 1
First-principles (PBE-GGA) data for an optimized crystal structure of Zr2ScIr2, as listed in the Alexandria database.

a = 7.9933 Å, b = 7.9933 Å, c = 3.0318 Å
α = 90.00°, β = 90.00°, γ = 90.00°
Positions (direct):
Sc 0.0000 0.0000 0.0000
Sc 0.5000 0.5000 0.0000
Zr 0.6452 0.1452 0.0000
Zr 0.1452 0.3548 0.0000
Zr 0.3548 0.8548 0.0000
Zr 0.8548 0.6452 0.0000
Ir 0.6537 0.8463 0.5000
Ir 0.8463 0.3463 0.5000
Ir 0.1537 0.6537 0.5000
Ir 0.3463 0.1537 0.5000

Computed properties:
D(E_F), states/eV/atom: 0.75



Entry 2
First-principles (PBE-GGA) data for an optimized crystal structure of Zr2ScIr2, as listed in the Alexandria database.

a = 3.4192 Å, b = 4.6319 Å, c = 11.8230 Å
α = 90.00°, β = 98.33°, γ = 90.00°
Positions (direct):
Ir 0.3549 0.2500 0.7104
Ir 0.6451 0.7500 0.2896
Ir 0.4522 0.7500 0.9064
Ir 0.5478 0.2500 0.0936
Zr 0.9497 0.2500 0.8999
Zr 0.0503 0.7500 0.1001
Zr 0.2425 0.7500 0.4857
Zr 0.7575 0.2500 0.5143
Sc 0.8549 0.7500 0.7115
Sc 0.1451 0.2500 0.2885

Computed properties:
D(E_F), states/eV/atom: 0.66



Entry 3
First-principles (PBE-GGA) data for an optimized crystal structure of Zr2ScIr2, as listed in the Alexandria database.

a = 7.4303 Å, b = 7.4303 Å, c = 3.5511 Å
α = 90.00°, β = 90.00°, γ = 90.00°
Positions (direct):
Sc 0.5000 0.5000 0.0000
Sc 0.0000 0.0000 0.0000
Ir 0.8621 0.6379 0.0000
Ir 0.6379 0.1379 0.0000
Ir 0.1379 0.3621 0.0000
Ir 0.3621 0.8621 0.0000
Zr 0.6647 0.8353 0.5000
Zr 0.1647 0.6647 0.5000
Zr 0.3353 0.1647 0.5000
Zr 0.8353 0.3353 0.5000

Computed properties:
D(E_F), states/eV/atom: 1.07



Pick entry 2: it beats the second-best structure by 3.2 kJ/mol of atoms.



Entry 1
First-principles (PBE-GGA) data for an optimized crystal structure of Zr2ScIr, as listed in the Alexandria database.

a = 5.4152 Å, b = 5.5570 Å, c = 3.0870 Å
α = 80.65°, β = 76.32°, γ = 114.93°
Positions (direct):
Zr 0.0000 0.0000 0.0000
Zr 0.5000 0.0000 0.5000
Sc 0.5000 0.5000 0.0000
Ir 0.0000 0.5000 0.5000

Computed properties:
D(E_F), states/eV/atom: 1.26



Entry 2
First-principles (PBE-GGA) data for an optimized crystal structure of Zr2ScIr, as listed in the Alexandria database.

a = 4.7830 Å, b = 4.7830 Å, c = 4.7830 Å
α = 60.00°, β = 60.00°, γ = 60.00°
Positions (direct):
Zr 0.2500 0.2500 0.2500
Zr 0.0000 0.0000 0.0000
Sc 0.7500 0.7500 0.7500
Ir 0.5000 0.5000 0.5000

Computed properties:
D(E_F), states/eV/atom: 1.30



Entry 3
First-principles (PBE-GGA) data for an optimized crystal structure of Zr2ScIr, as listed in the Alexandria database.

a = 9.6606 Å, b = 9.6606 Å, c = 9.6606 Å
α = 18.96°, β = 18.96°, γ = 18.96°
Positions (direct):
Sc 0.7613 0.7613 0.7613
Zr 0.2407 0.2407 0.2407
Zr 0.9980 0.9980 0.9980
Ir 0.5000 0.5000 0.5000

Computed properties:
D(E_F), states/eV/atom: 0.83



Entry 4
First-principles (PBE-GGA) data for an optimized crystal structure of Zr2ScIr, as listed in the Alexandria database.

a = 5.7320 Å, b = 5.7320 Å, c = 5.7320 Å
α = 139.37°, β = 139.37°, γ = 58.81°
Positions (direct):
Zr 0.0000 0.0000 0.0000
Zr 0.5000 0.5000 0.0000
Ir 0.2500 0.7500 0.5000
Sc 0.7500 0.2500 0.5000

Computed properties:
D(E_F), states/eV/atom: 1.01



Pick entry 2: it beats the second-best structure by 0.5 kJ/mol of atoms.



Entry 1
First-principles (PBE-GGA) data for an optimized crystal structure of Zr2ScIr, as listed in the Alexandria database.

a = 5.7627 Å, b = 5.7627 Å, c = 4.8503 Å
α = 65.10°, β = 65.10°, γ = 34.36°
Positions (direct):
Zr 0.4697 0.4697 0.5302
Zr 0.0303 0.0303 0.9698
Ir 0.7500 0.7500 0.7500
Sc 0.2500 0.2500 0.2500

Computed properties:
D(E_F), states/eV/atom: 1.04



Entry 2
First-principles (PBE-GGA) data for an optimized crystal structure of Zr2ScIr, as listed in the Alexandria database.

a = 4.7765 Å, b = 4.7765 Å, c = 3.4404 Å
α = 90.00°, β = 90.00°, γ = 90.01°
Positions (direct):
Zr 0.5000 0.5000 0.0000
Zr 0.0000 0.0000 0.0000
Sc 0.0000 0.5000 0.5000
Ir 0.5000 0.0000 0.5000

Computed properties:
D(E_F), states/eV/atom: 1.23



Entry 3
First-principles (PBE-GGA) data for an optimized crystal structure of Zr2ScIr, as listed in the Alexandria database.

a = 3.3135 Å, b = 3.3135 Å, c = 7.4559 Å
α = 90.00°, β = 90.00°, γ = 90.00°
Positions (direct):
Sc 0.5000 0.5000 0.7104
Zr 0.5000 0.5000 0.2846
Zr 0.0000 0.0000 0.0066
Ir 0.0000 0.0000 0.4984

Computed properties:
D(E_F), states/eV/atom: 1.20



Pick entry 1: it beats the second-best structure by 2.8 kJ/mol of atoms.